# Li9Ca2Cd6, relaxed, DFT PBE-GGA
# Mass density, g cm⁻³: 3.4
# Magnetic moment, μB/cell: 0.00
# Formation enthalpy at 0 K, eV/f.u.: -2.23
data_Li9Ca2Cd6
_symmetry_space_group_name_H-M 'P 6/m m m'
_symmetry_Int_Tables_number 191
_symmetry_space_group_name_Hall '-P 6 2'
_cell_length_a 5.6973
_cell_length_b 5.6973
_cell_length_c 14.3599
_cell_angle_alpha 90.00
_cell_angle_beta 90.00
_cell_angle_gamma 120.00
loop_
_atom_site_label
_atom_site_fract_x
_atom_site_fract_y
_atom_site_fract_z
Li1 0.0000 0.5000 0.0000
Li2 0.0000 0.5000 0.3329
Ca1 0.0000 0.0000 0.1635
Cd1 0.3333 0.6667 0.1668
Cd2 0.3333 0.6667 0.5000